1.
The following is a DFT calculation (PBE) of a relaxed structure of AcTmPuSn.

* ΔH_f (0 K): -0.03 eV/atom
* D(E_F): 54.30 states/eV/cell
* E: -6.757 eV per atom
* magnetic moment: 27.8 μB/cell
* calculated density: 10.62 g/cm3

Lattice parameters (Å, degrees): 7.799 7.799 7.799 90.00 90.00 90.00
Fractional positions:
Ac  0.000  0.000  0.000
Ac  0.000  0.500  0.500
Ac  0.500  0.000  0.500
Ac  0.500  0.500  0.000
Tm  0.250  0.250  0.750
Tm  0.250  0.750  0.250
Tm  0.750  0.250  0.250
Tm  0.750  0.750  0.750
Pu  0.250  0.250  0.250
Pu  0.250  0.750  0.750
Pu  0.750  0.250  0.750
Pu  0.750  0.750  0.250
Sn  0.000  0.000  0.500
Sn  0.000  0.500  0.000
Sn  0.500  0.000  0.000
Sn  0.500  0.500  0.500


2.
The following is a DFT calculation (PBE) of a relaxed structure of AcYPuSn.

* ΔH_f (0 K): -0.06 eV/atom
* D(E_F): 55.84 states/eV/cell
* E: -7.282 eV per atom
* magnetic moment: 28.2 μB/cell
* calculated density: 9.33 g/cm3

Lattice parameters (Å, degrees): 7.846 7.846 7.846 90.00 90.00 90.00
Fractional positions:
Ac  0.000  0.000  0.000
Ac  0.000  0.500  0.500
Ac  0.500  0.000  0.500
Ac  0.500  0.500  0.000
Y  0.250  0.250  0.250
Y  0.250  0.750  0.750
Y  0.750  0.250  0.750
Y  0.750  0.750  0.250
Pu  0.250  0.250  0.750
Pu  0.250  0.750  0.250
Pu  0.750  0.250  0.250
Pu  0.750  0.750  0.750
Sn  0.000  0.000  0.500
Sn  0.000  0.500  0.000
Sn  0.500  0.000  0.000
Sn  0.500  0.500  0.500


3.
The following is a DFT calculation (PBE) of a relaxed structure of AcPuZnSn.

* ΔH_f (0 K): -0.26 eV/atom
* D(E_F): 42.05 states/eV/cell
* E: -6.193 eV per atom
* magnetic moment: 27.0 μB/cell
* calculated density: 9.29 g/cm3

Lattice parameters (Å, degrees): 7.766 7.766 7.766 90.00 90.00 90.00
Fractional positions:
Ac  0.000  0.000  0.000
Ac  0.000  0.500  0.500
Ac  0.500  0.000  0.500
Ac  0.500  0.500  0.000
Pu  0.000  0.000  0.500
Pu  0.000  0.500  0.000
Pu  0.500  0.000  0.000
Pu  0.500  0.500  0.500
Zn  0.250  0.250  0.250
Zn  0.250  0.750  0.750
Zn  0.750  0.250  0.750
Zn  0.750  0.750  0.250
Sn  0.250  0.250  0.750
Sn  0.250  0.750  0.250
Sn  0.750  0.250  0.250
Sn  0.750  0.750  0.750


4.
The following is a DFT calculation (PBE) of a relaxed structure of SrAc2Pu.

* ΔH_f (0 K): 0.17 eV/atom
* D(E_F): 9.82 states/eV/cell
* E: -5.886 eV per atom
* energy above the lowest structure with this stoichiometry: 0 meV/atom
* magnetic moment: 6.3 μB/cell
* calculated density: 7.79 g/cm3

Lattice parameters (Å, degrees): 3.876 3.876 11.143 90.00 90.00 90.00
Fractional positions:
Sr  0.000  0.000  0.000
Ac  0.500  0.500  0.280
Ac  0.500  0.500  0.720
Pu  0.000  0.000  0.500